Crystalline MnBeCr2 at its relaxed geometry, computed with PBE-GGA.

Results
Formation energy from the elements, meV/atom: 16
ρ, g cm⁻³: 6.59

abc: 2.3835 3.8768 4.6492
angles: 90.00 100.11 90.00
Space group Pm (No. 6)
Unique sites:
Mn  0.0000  0.0000  0.0000
Be  0.7452  0.5000  0.2416
Cr  0.2164  0.5000  0.7468
Cr  0.4354  0.0000  0.4763

***

Crystalline Li3HgAu at its relaxed geometry, computed with PBE-GGA.

Results
Energy above the lowest structure with this stoichiometry, kJ/mol of atoms: 48.7
Formation energy from the elements, meV/atom: 92
ρ, g cm⁻³: 6.07

abc: 4.8540 4.8540 4.8540
angles: 90.00 90.00 90.00
Space group Pm-3m (No. 221)
Unique sites:
Li  0.0000  0.0000  0.5000
Hg  0.0000  0.0000  0.0000
Au  0.5000  0.5000  0.5000

***

Crystalline Er6PS12 at its relaxed geometry, computed with PBE-GGA.

Results
Raw formation energy, kJ per mole of atoms: -148.62
ρ, g cm⁻³: 5.57

abc: 11.4948 11.4948 11.1024
angles: 90.00 90.00 120.00
Space group R-3 (No. 148, hexagonal axes)
Unique sites:
Er  0.0534  0.2761  0.1411
P  0.0000  0.0000  0.5000
S  0.0359  0.2190  0.8992
S  0.0623  0.1934  0.3883

***

> What is the ρ in the second record?

6.07 g cm⁻³

***

What did the first record say?
Crystalline MnBeCr2 at its relaxed geometry, computed with PBE-GGA.

Results
Formation energy from the elements, meV/atom: 16
ρ, g cm⁻³: 6.59

abc: 2.3835 3.8768 4.6492
angles: 90.00 100.11 90.00
Space group Pm (No. 6)
Unique sites:
Mn  0.0000  0.0000  0.0000
Be  0.7452  0.5000  0.2416
Cr  0.2164  0.5000  0.7468
Cr  0.4354  0.0000  0.4763

***

> The lowest ρ belongs to which entry?

Er6PS12

***

Please write out number 1 again, unchanged.
Crystalline MnBeCr2 at its relaxed geometry, computed with PBE-GGA.

Results
Formation energy from the elements, meV/atom: 16
ρ, g cm⁻³: 6.59

abc: 2.3835 3.8768 4.6492
angles: 90.00 100.11 90.00
Space group Pm (No. 6)
Unique sites:
Mn  0.0000  0.0000  0.0000
Be  0.7452  0.5000  0.2416
Cr  0.2164  0.5000  0.7468
Cr  0.4354  0.0000  0.4763